No. 1
Na2HfGaFe: relaxed, PBE-GGA.

Results
* SG: P4/mmm

Cell lengths 5.681, 4.465, 5.681 Å; angles 90.00, 90.00, 90.00 degrees
Element x y z (fractional)
Na  0.000  0.000  0.500
Na  0.500  0.000  0.000
Hf  0.000  0.000  0.000
Fe  0.000  0.500  0.000
Ga  0.500  0.500  0.500



No. 2
HfGaFeNi: relaxed, PBE-GGA.

Results
* SG: F-43m

Cell lengths 4.285, 4.285, 4.285 Å; angles 60.00, 60.00, 60.00 degrees
Element x y z (fractional)
Ni  0.250  0.250  0.250
Hf  0.500  0.500  0.500
Fe  0.750  0.750  0.750
Ga  0.000  0.000  0.000



no.,formation energy (meV/atom),energy (eV per atom)
1,1306,-3.51
2,-381,-7.19